1.
Entry from Alexandria: MnCo2Ir at its PBEsol-relaxed geometry (SCAN).

POSCAR file:
```
MnCo2Ir
1.0
4.1480 -1.2757 0.0000
4.1480 1.2757 0.0000
-0.7967 0.0000 4.2804
Mn Co Ir
1 2 1
direct
0.0000 0.0000 0.0000
0.2514 0.2514 0.7629
0.7486 0.7486 0.2371
0.5000 0.5000 0.5000
```

As for the formation energy: 0.1 eV per formula unit. The calculation puts the total energy at -30.961 eV per atom. As for the calculated volume: 45.30 Å³/cell. The crystal system is monoclinic.


2.
Entry from Alexandria: MnCo2Ir at its PBEsol-relaxed geometry (SCAN).

POSCAR file:
```
MnCo2Ir
1.0
3.5660 0.0000 0.0000
0.0000 3.5660 0.0000
0.0000 0.0000 3.5704
Mn Co Ir
1 2 1
direct
0.0000 0.0000 0.0000
0.0000 0.5000 0.5000
0.5000 0.0000 0.5000
0.5000 0.5000 0.0000
```

As for the formation energy: -0.6 eV per formula unit. The calculation puts the total energy at -31.131 eV per atom. As for the calculated volume: 45.40 Å³/cell. The crystal system is tetragonal.


3.
Entry from Alexandria: Co2MoIr at its PBEsol-relaxed geometry (SCAN).

POSCAR file:
```
Co2MoIr
1.0
2.6619 0.0000 0.0000
0.0000 2.6619 0.0000
0.0000 0.0000 7.0627
Co Mo Ir
2 1 1
direct
0.0000 0.0000 0.0000
0.5000 0.5000 0.2141
0.5000 0.5000 0.7458
0.0000 0.0000 0.4658
```

As for the formation energy: 0.1 eV per formula unit. The calculation puts the total energy at -35.133 eV per atom. As for the calculated volume: 50.04 Å³/cell. The crystal system is tetragonal.


4.
Entry from Alexandria: Co2MoIr at its PBEsol-relaxed geometry (SCAN).

POSCAR file:
```
Co2MoIr
1.0
1.3148 0.7591 8.4143
-1.3148 0.7591 8.4143
0.0000 -1.5182 8.4143
Co Mo Ir
2 1 1
direct
0.2493 0.2493 0.2493
0.7507 0.7507 0.7507
0.0000 0.0000 0.0000
0.5000 0.5000 0.5000
```

As for the formation energy: 0.8 eV per formula unit. The calculation puts the total energy at -34.955 eV per atom. As for the calculated volume: 50.39 Å³/cell. The crystal system is trigonal.


5.
Entry from Alexandria: Co2MoIr at its PBEsol-relaxed geometry (SCAN).

POSCAR file:
```
Co2MoIr
1.0
3.6837 0.0000 0.0000
0.0000 3.6837 0.0000
0.0000 0.0000 3.6073
Co Mo Ir
2 1 1
direct
0.0000 0.5000 0.0000
0.5000 0.0000 0.0000
0.0000 0.0000 0.5000
0.5000 0.5000 0.5000
```

As for the formation energy: -0.1 eV per formula unit. The calculation puts the total energy at -35.175 eV per atom. As for the calculated volume: 48.95 Å³/cell. The crystal system is tetragonal.


6.
Entry from Alexandria: Co2MoIr at its PBEsol-relaxed geometry (SCAN).

POSCAR file:
```
Co2MoIr
1.0
-1.8289 1.8289 3.6991
1.8289 -1.8289 3.6991
1.8289 1.8289 -3.6991
Co Mo Ir
2 1 1
direct
0.0000 0.0000 0.0000
0.7500 0.2500 0.5000
0.5000 0.5000 0.0000
0.2500 0.7500 0.5000
```

As for the formation energy: -0.3 eV per formula unit. The calculation puts the total energy at -35.228 eV per atom. As for the calculated volume: 49.49 Å³/cell. The crystal system is tetragonal.


7.
Entry from Alexandria: CoIrNO2 at its PBEsol-relaxed geometry (SCAN).

POSCAR file:
```
CoIrNO2
1.0
3.6481 0.0000 0.0000
0.0000 3.6481 0.0000
0.0000 0.0000 3.5475
Co Ir N O
1 1 1 2
direct
0.0000 0.0000 0.0000
0.5000 0.5000 0.5000
0.0000 0.0000 0.5000
0.0000 0.5000 0.0000
0.5000 0.0000 0.0000
```

The calculation puts the total energy at -21.269 eV per atom. As for the calculated volume: 47.21 Å³/cell. The crystal system is tetragonal.


8.
Entry from Alexandria: CoIrN2O at its PBEsol-relaxed geometry (SCAN).

POSCAR file:
```
CoIrN2O
1.0
3.5543 0.0000 0.0000
0.0000 3.5543 0.0000
0.0000 0.0000 3.7123
Co Ir N O
1 1 2 1
direct
0.0000 0.0000 0.0000
0.5000 0.5000 0.5000
0.0000 0.5000 0.0000
0.5000 0.0000 0.0000
0.0000 0.0000 0.5000
```

The calculation puts the total energy at -21.358 eV per atom. As for the calculated volume: 46.90 Å³/cell. The crystal system is tetragonal.